1.
Here is crystalline BaLaCu3 at its relaxed geometry from Alexandria via LeMat-Bulk. Energies are from PBE-GGA.

```
data_BaLaCu3
_space_group_name_H-M_alt 'P 1'
_space_group_IT_number 1
_space_group_name_Hall 'P 1'
_cell_length_a 5.394
_cell_length_b 5.394
_cell_length_c 5.394
_cell_angle_alpha 90.00
_cell_angle_beta 90.00
_cell_angle_gamma 90.00
loop_
_atom_site_label
_atom_site_type_symbol
_atom_site_fract_x
_atom_site_fract_y
_atom_site_fract_z
La1 La 0.000 0.000 0.000
Cu1 Cu 0.000 0.000 0.500
Cu2 Cu 0.500 0.000 0.000
Cu3 Cu 0.000 0.500 0.000
Ba1 Ba 0.500 0.500 0.500
```

Polymorph energy (0 for the lowest one), meV per atom: 0.0
Energy of formation, meV/atom: 393
Symmetry: Pm-3m
N(E_F), states/eV/f.u.: 2.93


2.
Here is crystalline BaLaCu at its relaxed geometry from Alexandria via LeMat-Bulk. Energies are from PBE-GGA.

```
data_BaLaCu
_space_group_name_H-M_alt 'P 1'
_space_group_IT_number 1
_space_group_name_Hall 'P 1'
_cell_length_a 4.247
_cell_length_b 4.247
_cell_length_c 7.403
_cell_angle_alpha 90.00
_cell_angle_beta 90.00
_cell_angle_gamma 120.00
loop_
_atom_site_label
_atom_site_type_symbol
_atom_site_fract_x
_atom_site_fract_y
_atom_site_fract_z
La1 La 0.333 0.667 0.574
Cu1 Cu 0.667 0.333 0.359
Ba1 Ba 0.000 0.000 0.066
```

Polymorph energy (0 for the lowest one), meV per atom: 113.7
Energy of formation, meV/atom: 137
Symmetry: P3m1
N(E_F), states/eV/f.u.: 3.81